Computed, not measured: a geometry-optimized MgPd2F structure at the PBE level of DFT.

Calculated total energy: -3.976 eV per atom
E above lowest polymorph: 15.2 meV/atom

Cell: 4.3707 4.3707 4.3707 Å, 60.00 60.00 60.00°
Last column: nearest neighbours and their distance in Å.
Element x y z (fractional)
Mg 0.0000 0.0000 0.0000  8 Pd 2.68
Pd 0.2500 0.2500 0.2500  4 F 2.68, 4 Mg 2.68
Pd 0.7500 0.7500 0.7500  4 F 2.68, 4 Mg 2.68
F 0.5000 0.5000 0.5000  8 Pd 2.68